Crystalline La2GaCuO6 at its relaxed geometry, computed with PBE.

Values from the calculation:
Total energy in eV per atom: -6.910
Symmetry: I4/mmm, No. 139
ΔE_f (raw) in kJ per mole of atoms: -215.8

a = 5.5147 Å, b = 5.5147 Å, c = 5.5147 Å
α = 119.92°, β = 119.92°, γ = 90.13°
Closest atoms and distances in Å follow each position.
Positions (direct):
La: 0.2500 0.7500 0.5000  12 O 2.76
La: 0.7500 0.2500 0.5000  12 O 2.76
Ga: 0.0000 0.0000 0.0000  6 O 1.95
Cu: 0.5000 0.5000 0.0000  6 O 1.95-1.96
O: 0.2493 0.2493 0.4985  1 Ga 1.95, 1 Cu 1.96
O: 0.2493 0.7507 0.0000  1 Ga 1.95, 1 Cu 1.96
O: 0.2501 0.2501 0.0000  1 Cu 1.95, 1 Ga 1.95
O: 0.7499 0.7499 0.0000  1 Cu 1.95, 1 Ga 1.95
O: 0.7507 0.2493 0.0000  1 Ga 1.95, 1 Cu 1.96
O: 0.7507 0.7507 0.5015  1 Ga 1.95, 1 Cu 1.96

---

Crystalline YTi2Ru2 at its relaxed geometry, computed with PBE.

Values from the calculation:
Total energy in eV per atom: -8.597
Energy of formation in eV per atom: -0.4361
Symmetry: I4/mmm, No. 139
Energy above the lowest structure with this stoichiometry in kcal/mol of atoms: 0.000

a = 6.3293 Å, b = 6.3293 Å, c = 6.3293 Å
α = 142.10°, β = 142.10°, γ = 54.68°
Closest atoms and distances in Å follow each position.
Positions (direct):
Y: 0.0000 0.0000 0.0000  8 Ru 3.19, 8 Ti 3.48
Ti: 0.2500 0.7500 0.5000  4 Ru 2.54
Ti: 0.7500 0.2500 0.5000  4 Ru 2.54
Ru: 0.3832 0.3832 0.0000  4 Ti 2.54, 1 Ru 2.63
Ru: 0.6168 0.6168 0.0000  4 Ti 2.54, 1 Ru 2.63

---

Crystalline TlInRh2N at its relaxed geometry, computed with PBE.

Values from the calculation:
Total energy in eV per atom: -5.206
Symmetry: P4/mmm, No. 123
ΔE_f (raw) in kJ per mole of atoms: 40.5

a = 4.0554 Å, b = 4.0554 Å, c = 5.5196 Å
α = 90.00°, β = 90.00°, γ = 90.00°
Closest atoms and distances in Å follow each position.
Positions (direct):
Tl: 0.0000 0.0000 0.0000  2 N 2.76, 4 In 2.87
In: 0.5000 0.5000 0.0000  4 Tl 2.87
Rh: 0.0000 0.5000 0.5000  2 N 2.03
Rh: 0.5000 0.0000 0.5000  2 N 2.03
N: 0.0000 0.0000 0.5000  4 Rh 2.03

---

Crystalline NbV2TcH at its relaxed geometry, computed with PBE.

Values from the calculation:
Total energy in eV per atom: -8.404
Symmetry: P4/mmm, No. 123
Energy above the lowest structure with this stoichiometry in kcal/mol of atoms: 0.710

a = 3.7084 Å, b = 3.7084 Å, c = 4.5704 Å
α = 90.00°, β = 90.00°, γ = 90.00°
Closest atoms and distances in Å follow each position.
Positions (direct):
Nb: 0.0000 0.0000 0.0000  4 Tc 2.62
V: 0.0000 0.5000 0.5000  2 H 1.85
V: 0.5000 0.0000 0.5000  2 H 1.85
Tc: 0.5000 0.5000 0.0000  2 H 2.29
H: 0.5000 0.5000 0.5000  4 V 1.85

---

Crystalline ZrTaTc at its relaxed geometry, computed with PBE.

Values from the calculation:
Total energy in eV per atom: -10.338
Energy of formation in eV per atom: -0.0825
Symmetry: Fmm2, No. 42
Energy above the lowest structure with this stoichiometry in kcal/mol of atoms: 5.187

a = 7.2082 Å, b = 6.9747 Å, c = 2.9543 Å
α = 82.45°, β = 73.58°, γ = 23.97°
Closest atoms and distances in Å follow each position.
Positions (direct):
Zr: 0.0000 0.0000 0.0000  2 Tc 2.76, 4 Zr 2.95, 2 Ta 3.03
Ta: 0.3126 0.3126 0.6874  2 Tc 2.61
Tc: 0.6634 0.6634 0.3366  2 Ta 2.61, 2 Zr 2.76

---

Crystalline Nd6Co2GeCl3 at its relaxed geometry, computed with PBE.

Values from the calculation:
Total energy in eV per atom: -5.364
Symmetry: C2/m, No. 12
ΔE_f (raw) in kJ per mole of atoms: -91.6

a = 9.6205 Å, b = 9.6205 Å, c = 8.8122 Å
α = 107.67°, β = 107.67°, γ = 24.41°
Closest atoms and distances in Å follow each position.
Positions (direct):
Nd: 0.0202 0.0202 0.2483  1 Co 2.69, 2 Ge 2.92
Nd: 0.3222 0.3222 0.4357  3 Co 2.71-2.78
Nd: 0.3352 0.3352 0.8719  2 Co 2.77, 1 Ge 2.95
Nd: 0.6648 0.6648 0.1281  2 Co 2.77, 1 Ge 2.95
Nd: 0.6778 0.6778 0.5643  3 Co 2.71-2.78
Nd: 0.9798 0.9798 0.7517  1 Co 2.69, 2 Ge 2.92
Co: 0.1708 0.1708 0.3449  6 Nd 2.69-2.78
Co: 0.8292 0.8292 0.6551  6 Nd 2.69-2.78
Ge: 0.5000 0.5000 0.0000  6 Nd 2.92-2.95
Cl: 0.1615 0.1615 0.8423  6 Nd 3.19-3.27
Cl: 0.5000 0.5000 0.5000  6 Nd 3.12-3.21
Cl: 0.8385 0.8385 0.1577  6 Nd 3.19-3.27

---

Copy entry 4 word for word.
Crystalline NbV2TcH at its relaxed geometry, computed with PBE.

Values from the calculation:
Total energy in eV per atom: -8.404
Symmetry: P4/mmm, No. 123
Energy above the lowest structure with this stoichiometry in kcal/mol of atoms: 0.710

a = 3.7084 Å, b = 3.7084 Å, c = 4.5704 Å
α = 90.00°, β = 90.00°, γ = 90.00°
Closest atoms and distances in Å follow each position.
Positions (direct):
Nb: 0.0000 0.0000 0.0000  4 Tc 2.62
V: 0.0000 0.5000 0.5000  2 H 1.85
V: 0.5000 0.0000 0.5000  2 H 1.85
Tc: 0.5000 0.5000 0.0000  2 H 2.29
H: 0.5000 0.5000 0.5000  4 V 1.85